1.
# Y2TeH, relaxed, DFT PBE
data_Y2TeH
_cell_length_a 5.044
_cell_length_b 5.044
_cell_length_c 5.044
_cell_angle_alpha 60.00
_cell_angle_beta 60.00
_cell_angle_gamma 60.00
_space_group_name_H-M_alt 'P 1'
_space_group_IT_number 1
loop_
_space_group_symop_operation_xyz
'x,y,z'
loop_
_atom_site_label
_atom_site_fract_x
_atom_site_fract_y
_atom_site_fract_z
Y1 0.250 0.250 0.250
Y2 0.750 0.750 0.750
H1 0.000 0.000 0.000
Te1 0.500 0.500 0.500
# M_tot ... 0.99 μB/f.u.
# DOS at the Fermi energy ... 3.9 states/eV/f.u.

=====

2.
# Hf2GaHF, relaxed, DFT PBE
data_Hf2GaHF
_cell_length_a 5.234
_cell_length_b 3.217
_cell_length_c 5.234
_cell_angle_alpha 90.00
_cell_angle_beta 90.00
_cell_angle_gamma 90.00
_space_group_name_H-M_alt 'P 1'
_space_group_IT_number 1
loop_
_space_group_symop_operation_xyz
'x,y,z'
loop_
_atom_site_label
_atom_site_fract_x
_atom_site_fract_y
_atom_site_fract_z
H1 0.000 0.500 0.000
Hf1 0.000 0.000 0.500
Hf2 0.500 0.000 0.000
Ga1 0.000 0.000 0.000
F1 0.500 0.500 0.500
# M_tot ... 0.00 μB/f.u.
# DOS at the Fermi energy ... 2.8 states/eV/f.u.

=====

3.
# U2C2Se, relaxed, DFT PBE
data_U2C2Se
_cell_length_a 4.043
_cell_length_b 6.317
_cell_length_c 7.095
_cell_angle_alpha 99.68
_cell_angle_beta 106.55
_cell_angle_gamma 90.00
_space_group_name_H-M_alt 'P 1'
_space_group_IT_number 1
loop_
_space_group_symop_operation_xyz
'x,y,z'
loop_
_atom_site_label
_atom_site_fract_x
_atom_site_fract_y
_atom_site_fract_z
U1 0.540 0.353 0.708
U2 0.168 0.853 0.708
U3 0.460 0.647 0.292
U4 0.832 0.147 0.292
C1 0.343 0.030 0.440
C2 0.904 0.470 0.560
C3 0.657 0.970 0.560
C4 0.096 0.530 0.440
Se1 0.806 0.750 0.000
Se2 0.194 0.250 0.000
# M_tot ... 3.94 μB/f.u.
# E_form (uncorrected) ... -569 meV per atom
# DOS at the Fermi energy ... 7.2 states/eV/f.u.

=====

4.
# SmMgIr, relaxed, DFT PBE
data_SmMgIr
_cell_length_a 3.354
_cell_length_b 3.354
_cell_length_c 6.355
_cell_angle_alpha 105.30
_cell_angle_beta 105.30
_cell_angle_gamma 90.00
_space_group_name_H-M_alt 'P 1'
_space_group_IT_number 1
loop_
_space_group_symop_operation_xyz
'x,y,z'
loop_
_atom_site_label
_atom_site_fract_x
_atom_site_fract_y
_atom_site_fract_z
Mg1 0.318 0.318 0.637
Ir1 0.943 0.943 0.886
Sm1 0.589 0.589 0.177
# M_tot ... 0.00 μB/f.u.
# DOS at the Fermi energy ... 1.1 states/eV/f.u.

=====

5.
# SiIrN2O, relaxed, DFT PBE
data_SiIrN2O
_cell_length_a 3.779
_cell_length_b 3.779
_cell_length_c 4.311
_cell_angle_alpha 90.00
_cell_angle_beta 90.00
_cell_angle_gamma 90.00
_space_group_name_H-M_alt 'P 1'
_space_group_IT_number 1
loop_
_space_group_symop_operation_xyz
'x,y,z'
loop_
_atom_site_label
_atom_site_fract_x
_atom_site_fract_y
_atom_site_fract_z
Si1 0.500 0.500 0.500
Ir1 0.000 0.000 0.000
O1 0.000 0.000 0.500
N1 0.000 0.500 0.000
N2 0.500 0.000 0.000
# M_tot ... 0.00 μB/f.u.
# E_form (uncorrected) ... 895 meV per atom
# DOS at the Fermi energy ... 2.9 states/eV/f.u.

=====

6.
# Be3C, relaxed, DFT PBE
data_Be3C
_cell_length_a 7.070
_cell_length_b 7.070
_cell_length_c 7.070
_cell_angle_alpha 156.24
_cell_angle_beta 156.24
_cell_angle_gamma 33.85
_space_group_name_H-M_alt 'P 1'
_space_group_IT_number 1
loop_
_space_group_symop_operation_xyz
'x,y,z'
loop_
_atom_site_label
_atom_site_fract_x
_atom_site_fract_y
_atom_site_fract_z
Be1 0.000 0.500 0.500
Be2 0.500 0.000 0.500
Be3 0.750 0.250 0.500
Be4 0.250 0.750 0.500
Be5 0.878 0.878 0.000
Be6 0.122 0.122 0.000
C1 0.598 0.598 0.000
C2 0.402 0.402 0.000
# M_tot ... 0.00 μB/f.u.
# DOS at the Fermi energy ... 0.8 states/eV/f.u.

=====

Number 1: DFT total energy -5.227 eV per atom. Number 2: DFT total energy -5.330 eV per atom. Number 3: DFT total energy -9.470 eV per atom. Number 4: DFT total energy -5.455 eV per atom. Number 5: DFT total energy -6.283 eV per atom. Number 6: DFT total energy -4.486 eV per atom.